[1]
Compound: TlZn2In
Source: Alexandria via LeMat-Bulk
Functional: PBE-GGA
Structure: optimized geometry

abc: 3.4603 3.4603 26.4636
angles: 90.00 90.00 120.00
Sites, in units of the cell vectors:
Tl (0.0000, 0.0000, 0.0000)
Tl (0.3333, 0.6667, 0.6667)
Tl (0.6667, 0.3333, 0.3333)
Zn (0.0000, 0.0000, 0.2467)
Zn (0.0000, 0.0000, 0.5162)
Zn (0.3333, 0.6667, 0.1828)
Zn (0.3333, 0.6667, 0.9134)
Zn (0.6667, 0.3333, 0.5800)
Zn (0.6667, 0.3333, 0.8495)
In (0.0000, 0.0000, 0.7682)
In (0.3333, 0.6667, 0.4349)
In (0.6667, 0.3333, 0.1015)

Volume   22.87 A^3/atom
E_form   0.12 eV/atom

=====

[2]
Compound: TlZn2In2
Source: Alexandria via LeMat-Bulk
Functional: PBE-GGA
Structure: optimized geometry

abc: 8.6874 8.6874 3.1577
angles: 90.00 90.00 90.00
Sites, in units of the cell vectors:
Tl (0.0000, 0.0000, 0.0000)
Tl (0.5000, 0.5000, 0.0000)
Zn (0.1578, 0.3422, 0.5000)
Zn (0.3422, 0.8422, 0.5000)
Zn (0.6578, 0.1578, 0.5000)
Zn (0.8422, 0.6578, 0.5000)
In (0.1370, 0.6370, 0.0000)
In (0.3630, 0.1370, 0.0000)
In (0.6370, 0.8630, 0.0000)
In (0.8630, 0.3630, 0.0000)

Volume   23.83 A^3/atom
E_form   0.12 eV/atom

=====

[3]
Compound: TlZn3In
Source: Alexandria via LeMat-Bulk
Functional: PBE-GGA
Structure: optimized geometry

abc: 5.2120 5.2120 5.2120
angles: 90.00 90.00 90.00
Sites, in units of the cell vectors:
Tl (0.0000, 0.0000, 0.0000)
Zn (0.0000, 0.5000, 0.5000)
Zn (0.5000, 0.0000, 0.5000)
Zn (0.5000, 0.5000, 0.0000)
In (0.5000, 0.5000, 0.5000)

Volume   28.32 A^3/atom
E_form   0.41 eV/atom

=====

[4]
Compound: TlZn2In
Source: Alexandria via LeMat-Bulk
Functional: PBE-GGA
Structure: optimized geometry

abc: 4.2690 4.2690 9.9633
angles: 90.00 90.00 90.00
Sites, in units of the cell vectors:
Tl (0.0000, 0.0000, 0.0000)
Tl (0.5000, 0.5000, 0.5000)
Zn (0.0000, 0.0000, 0.5000)
Zn (0.0000, 0.5000, 0.7500)
Zn (0.5000, 0.0000, 0.2500)
Zn (0.5000, 0.5000, 0.0000)
In (0.0000, 0.5000, 0.2500)
In (0.5000, 0.0000, 0.7500)

Volume   22.70 A^3/atom
E_form   0.18 eV/atom

=====

[5]
Compound: TlZnIn
Source: Alexandria via LeMat-Bulk
Functional: PBE-GGA
Structure: optimized geometry

abc: 4.3311 5.8414 6.7638
angles: 75.91 71.47 68.60
Sites, in units of the cell vectors:
Tl (0.0850, 0.1726, 0.1578)
Tl (0.9150, 0.8274, 0.8422)
Zn (0.3685, 0.5926, 0.1739)
Zn (0.6315, 0.4074, 0.8261)
In (0.3281, 0.2632, 0.5768)
In (0.6719, 0.7368, 0.4232)

Volume   24.91 A^3/atom
E_form   0.07 eV/atom

=====

[6]
Compound: TlZnIn
Source: Alexandria via LeMat-Bulk
Functional: PBE-GGA
Structure: optimized geometry

abc: 4.4687 4.4687 7.6462
angles: 90.00 90.00 90.00
Sites, in units of the cell vectors:
Tl (0.2500, 0.2500, 0.1399)
Tl (0.7500, 0.7500, 0.8601)
Zn (0.2500, 0.2500, 0.7537)
Zn (0.7500, 0.7500, 0.2463)
In (0.2500, 0.7500, 0.5000)
In (0.7500, 0.2500, 0.5000)

Volume   25.45 A^3/atom
E_form   0.10 eV/atom

=====

[7]
Compound: TlZn2In2
Source: Alexandria via LeMat-Bulk
Functional: PBE-GGA
Structure: optimized geometry

abc: 4.4605 4.4605 12.2805
angles: 90.00 90.00 90.00
Sites, in units of the cell vectors:
Tl (0.0000, 0.0000, 0.0000)
Tl (0.5000, 0.5000, 0.5000)
Zn (0.0000, 0.0000, 0.3992)
Zn (0.0000, 0.0000, 0.6008)
Zn (0.5000, 0.5000, 0.1008)
Zn (0.5000, 0.5000, 0.8992)
In (0.0000, 0.5000, 0.2500)
In (0.0000, 0.5000, 0.7500)
In (0.5000, 0.0000, 0.2500)
In (0.5000, 0.0000, 0.7500)

Volume   24.43 A^3/atom
E_form   0.08 eV/atom

=====

[8]
Compound: TlZn2In
Source: Alexandria via LeMat-Bulk
Functional: PBE-GGA
Structure: optimized geometry

abc: 3.1695 3.5131 8.1147
angles: 90.00 90.00 90.00
Sites, in units of the cell vectors:
Tl (0.0000, 0.0000, 0.0000)
Zn (0.0000, 0.0000, 0.5728)
Zn (0.5000, 0.5000, 0.7304)
In (0.5000, 0.5000, 0.3286)

Volume   22.59 A^3/atom
E_form   0.11 eV/atom